Below is a relaxed structure of TlGa4Au6, with properties calculated at the GGA-PBE level.

Calculated values
DOS at the Fermi energy: 3.6 states/eV per cell
Final energy: -3.2233 eV/atom
SG: P-6
Total magnetization: 0.00 μB per formula unit

abc: 7.2580 7.2580 5.0635
angles: 90.00 90.00 120.00
With the nearest neighbours (Å) after each atom.
Sites, in units of the cell vectors:
Tl 0.0000 0.0000 0.0000  9 Au 3.06-3.35
Ga 0.0154 0.5947 0.5000  5 Au 2.54-2.73
Ga 0.4053 0.4207 0.5000  5 Au 2.54-2.73
Ga 0.5793 0.9846 0.5000  5 Au 2.54-2.73
Ga 0.6667 0.3333 0.0000  3 Au 2.58
Au 0.0736 0.4935 0.0000  3 Ga 2.58-2.73, 2 Au 2.88
Au 0.2422 0.0095 0.5000  3 Ga 2.54-2.61
Au 0.4199 0.9264 0.0000  3 Ga 2.58-2.73, 2 Au 2.88
Au 0.5065 0.5801 0.0000  3 Ga 2.58-2.73, 2 Au 2.88
Au 0.7672 0.7578 0.5000  3 Ga 2.54-2.61
Au 0.9905 0.2328 0.5000  3 Ga 2.54-2.61